DFT (PBE) results for crystalline BaZrPdSe3 at its relaxed geometry.

Structure (POSCAR):
```
BaZrPdSe3
1.0
-3.651 0.099 1.711
-3.412 0.170 -7.292
1.096 -9.406 2.882
Ba Zr Pd Se
2 2 2 6
Direct
0.250 0.248 0.287
0.750 0.752 0.713
0.250 0.705 0.174
0.750 0.295 0.826
0.250 0.086 0.614
0.750 0.914 0.386
0.750 0.914 0.131
0.250 0.086 0.869
0.250 0.731 0.446
0.750 0.269 0.554
0.750 0.447 0.128
0.250 0.553 0.872
```

Summary:
raw formation energy	-1387	meV per atom
space-group type	P2_1/m (11)
DOS at the Fermi energy	1.22	states/eV/cell
E	-34.4	eV per formula unit
ρ	6.26	Mg/m³